The following is a PBE calculation of a geometry-optimized LaV structure, from the Alexandria database. Values from VASP.

Results
Volume (Å³ per cell): 611.6
SG: I-43m, No. 217
Distance to the lowest polymorph of the same formula (meV per atom): 637
Magnetization (Bohr magnetons per cell): 0.0
Energy of formation (kJ/mol of formula units): 202

Geometry as Quantum ESPRESSO input:
```
&SYSTEM
  ibrav = 0, nat = 16, ntyp = 2
/
ATOMIC_SPECIES
La 138.91 La.upf
V 50.94 V.upf
CELL_PARAMETERS angstrom
8.4883 0.0000 0.0000
0.0000 8.4883 0.0000
0.0000 0.0000 8.4883
ATOMIC_POSITIONS crystal
La 0.2799 0.2799 0.2799
La 0.2799 0.7201 0.7201
La 0.7201 0.2799 0.7201
La 0.7201 0.7201 0.2799
La 0.7799 0.7799 0.7799
La 0.7799 0.2201 0.2201
La 0.2201 0.7799 0.2201
La 0.2201 0.2201 0.7799
V 0.0987 0.0987 0.0987
V 0.0987 0.9013 0.9013
V 0.9013 0.0987 0.9013
V 0.9013 0.9013 0.0987
V 0.5987 0.5987 0.5987
V 0.5987 0.4013 0.4013
V 0.4013 0.5987 0.4013
V 0.4013 0.4013 0.5987
```